# PBE-GGA BiF, optimized geometry
data_BiF
_symmetry_space_group_name_H-M 'P 1'
_symmetry_Int_Tables_number 1
_symmetry_space_group_name_Hall 'P 1'
_cell_length_a 11.2329
_cell_length_b 3.8719
_cell_length_c 6.5499
_cell_angle_alpha 90.00
_cell_angle_beta 90.00
_cell_angle_gamma 90.00
loop_
_atom_site_label
_atom_site_fract_x
_atom_site_fract_y
_atom_site_fract_z
F1 0.0000 0.5054 0.3381
F2 0.5000 0.4946 0.8381
F3 0.2449 0.5048 0.1548
F4 0.2551 0.4952 0.6548
F5 0.7551 0.5048 0.1548
F6 0.7449 0.4952 0.6548
Bi1 0.3525 0.9951 0.7485
Bi2 0.1475 0.0049 0.2485
Bi3 0.0000 0.0083 0.8574
Bi4 0.8525 0.0049 0.2485
Bi5 0.6475 0.9951 0.7485
Bi6 0.5000 0.9917 0.3574
# offset from the most stable computed form: 68 meV/atom

***

Entry from Alexandria: a relaxed BiF3 crystal (PBE-GGA).

Geometry as CIF:
```
data_BiF3
_symmetry_space_group_name_H-M 'P 1'
_symmetry_Int_Tables_number 1
_symmetry_space_group_name_Hall 'P 1'
_cell_length_a 7.7592
_cell_length_b 7.7592
_cell_length_c 7.7592
_cell_angle_alpha 26.58
_cell_angle_beta 26.58
_cell_angle_gamma 26.58
loop_
_atom_site_label
_atom_site_fract_x
_atom_site_fract_y
_atom_site_fract_z
F1 0.5000 0.5000 0.5000
F2 0.0936 0.0936 0.0936
F3 0.9064 0.9064 0.9064
Bi1 0.0000 0.0000 0.0000
```

***

Entry from Alexandria: a relaxed Bi3F7 crystal (PBE-GGA).

Geometry as CIF:
```
data_Bi3F7
_symmetry_space_group_name_H-M 'P 1'
_symmetry_Int_Tables_number 1
_symmetry_space_group_name_Hall 'P 1'
_cell_length_a 5.0595
_cell_length_b 8.7904
_cell_length_c 8.7904
_cell_angle_alpha 120.00
_cell_angle_beta 90.00
_cell_angle_gamma 90.00
loop_
_atom_site_label
_atom_site_fract_x
_atom_site_fract_y
_atom_site_fract_z
F1 0.3685 0.1231 0.2463
F2 0.8685 0.8769 0.1231
F3 0.1198 0.0968 0.5484
F4 0.3685 0.7537 0.8769
F5 0.3685 0.1231 0.8769
F6 0.2190 0.6667 0.3333
F7 0.1198 0.4516 0.9032
F8 0.8685 0.2463 0.1231
F9 0.7190 0.3333 0.6667
F10 0.6198 0.5484 0.0968
F11 0.8685 0.8769 0.7537
F12 0.1198 0.4516 0.5484
F13 0.6198 0.5484 0.4516
F14 0.6198 0.9032 0.4516
Bi1 0.9080 0.6278 0.8139
Bi2 0.4080 0.3722 0.1861
Bi3 0.9080 0.1861 0.3722
Bi4 0.4080 0.8139 0.1861
Bi5 0.4080 0.8139 0.6278
Bi6 0.9080 0.1861 0.8139
```

***

# PBE-GGA BiF5, optimized geometry
data_BiF5
_symmetry_space_group_name_H-M 'P 1'
_symmetry_Int_Tables_number 1
_symmetry_space_group_name_Hall 'P 1'
_cell_length_a 6.0797
_cell_length_b 6.0797
_cell_length_c 8.8500
_cell_angle_alpha 90.00
_cell_angle_beta 90.00
_cell_angle_gamma 143.41
loop_
_atom_site_label
_atom_site_fract_x
_atom_site_fract_y
_atom_site_fract_z
Bi1 0.5000 0.5000 0.5000
Bi2 0.5000 0.5000 0.0000
F1 0.3385 0.6615 0.9141
F2 0.5310 0.4690 0.7500
F3 0.3385 0.6615 0.5859
F4 0.9205 0.0795 0.4158
F5 0.4690 0.5310 0.2500
F6 0.6615 0.3385 0.4141
F7 0.9205 0.0795 0.0842
F8 0.0795 0.9205 0.9158
F9 0.0795 0.9205 0.5842
F10 0.6615 0.3385 0.0859
# offset from the most stable computed form: 124 meV/atom

***

Entry from Alexandria: a relaxed BiF3 crystal (PBE-GGA).

Geometry as CIF:
```
data_BiF3
_symmetry_space_group_name_H-M 'P 1'
_symmetry_Int_Tables_number 1
_symmetry_space_group_name_Hall 'P 1'
_cell_length_a 3.8260
_cell_length_b 3.8260
_cell_length_c 8.2476
_cell_angle_alpha 76.59
_cell_angle_beta 76.59
_cell_angle_gamma 90.00
loop_
_atom_site_label
_atom_site_fract_x
_atom_site_fract_y
_atom_site_fract_z
F1 0.3750 0.3264 0.7500
F2 0.6736 0.1250 0.2500
F3 0.8750 0.9236 0.7500
F4 0.0764 0.6250 0.2500
F5 0.2500 0.7500 0.5000
F6 0.5000 0.5000 0.0000
Bi1 0.7500 0.2500 0.5000
Bi2 0.0000 0.0000 0.0000
```

***

# PBE-GGA BiF, optimized geometry
data_BiF
_symmetry_space_group_name_H-M 'P 1'
_symmetry_Int_Tables_number 1
_symmetry_space_group_name_Hall 'P 1'
_cell_length_a 10.1795
_cell_length_b 10.1795
_cell_length_c 4.2571
_cell_angle_alpha 90.00
_cell_angle_beta 90.00
_cell_angle_gamma 90.00
loop_
_atom_site_label
_atom_site_fract_x
_atom_site_fract_y
_atom_site_fract_z
Bi1 0.5000 0.8219 0.0000
Bi2 0.8219 0.5000 0.0000
Bi3 0.3219 0.0000 0.5000
Bi4 0.0000 0.3219 0.5000
Bi5 0.0000 0.6781 0.5000
Bi6 0.1781 0.5000 0.0000
Bi7 0.5000 0.1781 0.0000
Bi8 0.6781 0.0000 0.5000
F1 0.3444 0.6556 0.0000
F2 0.3444 0.3444 0.0000
F3 0.1556 0.1556 0.5000
F4 0.6556 0.6556 0.0000
F5 0.8444 0.8444 0.5000
F6 0.6556 0.3444 0.0000
F7 0.8444 0.1556 0.5000
F8 0.1556 0.8444 0.5000
# offset from the most stable computed form: 130 meV/atom

***

# PBE-GGA BiF, optimized geometry
data_BiF
_symmetry_space_group_name_H-M 'P 1'
_symmetry_Int_Tables_number 1
_symmetry_space_group_name_Hall 'P 1'
_cell_length_a 3.3843
_cell_length_b 6.1394
_cell_length_c 4.6206
_cell_angle_alpha 90.00
_cell_angle_beta 92.93
_cell_angle_gamma 90.00
loop_
_atom_site_label
_atom_site_fract_x
_atom_site_fract_y
_atom_site_fract_z
Bi1 0.1753 0.2500 0.0562
Bi2 0.8247 0.7500 0.9438
F1 0.8167 0.7500 0.4411
F2 0.1833 0.2500 0.5589
# offset from the most stable computed form: 0 meV/atom

***

# PBE-GGA BiF, optimized geometry
data_BiF
_symmetry_space_group_name_H-M 'P 1'
_symmetry_Int_Tables_number 1
_symmetry_space_group_name_Hall 'P 1'
_cell_length_a 6.6710
_cell_length_b 6.7251
_cell_length_c 8.2105
_cell_angle_alpha 90.00
_cell_angle_beta 90.00
_cell_angle_gamma 90.00
loop_
_atom_site_label
_atom_site_fract_x
_atom_site_fract_y
_atom_site_fract_z
Bi1 0.6517 0.9766 0.1377
Bi2 0.3483 0.4766 0.3623
Bi3 0.2503 0.9704 0.9261
Bi4 0.7503 0.5296 0.0739
Bi5 0.7497 0.4704 0.5739
Bi6 0.2497 0.0296 0.4261
Bi7 0.8483 0.0234 0.6377
Bi8 0.1517 0.5234 0.8623
F1 0.4313 0.0085 0.6711
F2 0.7819 0.1303 0.9141
F3 0.5687 0.5085 0.8289
F4 0.0687 0.9915 0.1711
F5 0.2819 0.3697 0.0859
F6 0.9313 0.4915 0.3289
F7 0.2181 0.6303 0.5859
F8 0.7181 0.8697 0.4141
# offset from the most stable computed form: 38 meV/atom

***

# PBE-GGA BiF, optimized geometry
data_BiF
_symmetry_space_group_name_H-M 'P 1'
_symmetry_Int_Tables_number 1
_symmetry_space_group_name_Hall 'P 1'
_cell_length_a 8.3197
_cell_length_b 10.5636
_cell_length_c 8.2104
_cell_angle_alpha 90.00
_cell_angle_beta 90.00
_cell_angle_gamma 90.00
loop_
_atom_site_label
_atom_site_fract_x
_atom_site_fract_y
_atom_site_fract_z
F1 0.5000 0.3526 0.0000
F2 0.7500 0.8974 0.7500
F3 0.5000 0.1474 0.5000
F4 0.2500 0.1026 0.7500
F5 0.5000 0.8526 0.5000
F6 0.2500 0.8974 0.2500
F7 0.0000 0.3526 0.5000
F8 0.2500 0.6026 0.2500
F9 0.0000 0.6474 0.5000
F10 0.7500 0.1026 0.2500
F11 0.0000 0.8526 0.0000
F12 0.0000 0.1474 0.0000
F13 0.7500 0.6026 0.7500
F14 0.5000 0.6474 0.0000
F15 0.2500 0.3974 0.7500
F16 0.7500 0.3974 0.2500
Bi1 0.8096 0.5000 0.0000
Bi2 0.6904 0.0000 0.0000
Bi3 0.3096 0.5000 0.5000
Bi4 0.5596 0.7500 0.2500
Bi5 0.1904 0.0000 0.5000
Bi6 0.5596 0.2500 0.7500
Bi7 0.6904 0.5000 0.5000
Bi8 0.9404 0.7500 0.2500
Bi9 0.4404 0.2500 0.2500
Bi10 0.0596 0.7500 0.7500
Bi11 0.3096 0.0000 0.0000
Bi12 0.1904 0.5000 0.0000
Bi13 0.0596 0.2500 0.2500
Bi14 0.9404 0.2500 0.7500
Bi15 0.8096 0.0000 0.5000
Bi16 0.4404 0.7500 0.7500
# offset from the most stable computed form: 69 meV/atom

***

Entry from Alexandria: a relaxed Bi4F crystal (PBE-GGA).

Geometry as CIF:
```
data_Bi4F
_symmetry_space_group_name_H-M 'P 1'
_symmetry_Int_Tables_number 1
_symmetry_space_group_name_Hall 'P 1'
_cell_length_a 5.1881
_cell_length_b 5.1881
_cell_length_c 5.1881
_cell_angle_alpha 90.00
_cell_angle_beta 90.00
_cell_angle_gamma 90.00
loop_
_atom_site_label
_atom_site_fract_x
_atom_site_fract_y
_atom_site_fract_z
Bi1 0.0000 0.0000 0.0000
Bi2 0.5000 0.5000 0.0000
Bi3 0.0000 0.5000 0.5000
Bi4 0.5000 0.0000 0.5000
F1 0.5000 0.5000 0.5000
```

***

Entry from Alexandria: a relaxed Bi2F13 crystal (PBE-GGA).

Geometry as CIF:
```
data_Bi2F13
_symmetry_space_group_name_H-M 'P 1'
_symmetry_Int_Tables_number 1
_symmetry_space_group_name_Hall 'P 1'
_cell_length_a 5.1501
_cell_length_b 6.7764
_cell_length_c 7.9871
_cell_angle_alpha 115.82
_cell_angle_beta 88.16
_cell_angle_gamma 101.62
loop_
_atom_site_label
_atom_site_fract_x
_atom_site_fract_y
_atom_site_fract_z
F1 0.4781 0.7915 0.8431
F2 0.1809 0.9409 0.6345
F3 0.4351 0.4237 0.9130
F4 0.2290 0.8411 0.2234
F5 0.8191 0.0591 0.3655
F6 0.7710 0.1589 0.7766
F7 0.0000 0.0000 0.0000
F8 0.0827 0.4362 0.2974
F9 0.5219 0.2085 0.1569
F10 0.5649 0.5763 0.0870
F11 0.3664 0.3065 0.5420
F12 0.9173 0.5638 0.7026
F13 0.6336 0.6935 0.4580
Bi1 0.8174 0.8442 0.7170
Bi2 0.1826 0.1558 0.2830
```

***

# PBE-GGA BiF, optimized geometry
data_BiF
_symmetry_space_group_name_H-M 'P 1'
_symmetry_Int_Tables_number 1
_symmetry_space_group_name_Hall 'P 1'
_cell_length_a 5.4901
_cell_length_b 5.4901
_cell_length_c 5.4901
_cell_angle_alpha 90.00
_cell_angle_beta 90.00
_cell_angle_gamma 90.00
loop_
_atom_site_label
_atom_site_fract_x
_atom_site_fract_y
_atom_site_fract_z
Bi1 0.5000 0.5000 0.5000
Bi2 0.0000 0.5000 0.0000
Bi3 0.0000 0.0000 0.5000
Bi4 0.5000 0.0000 0.0000
F1 0.0000 0.5000 0.5000
F2 0.5000 0.0000 0.5000
F3 0.0000 0.0000 0.0000
F4 0.5000 0.5000 0.0000
# offset from the most stable computed form: 489 meV/atom

***

# PBE-GGA BiF5, optimized geometry
data_BiF5
_symmetry_space_group_name_H-M 'P 1'
_symmetry_Int_Tables_number 1
_symmetry_space_group_name_Hall 'P 1'
_cell_length_a 5.3381
_cell_length_b 5.3381
_cell_length_c 5.3381
_cell_angle_alpha 99.56
_cell_angle_beta 99.56
_cell_angle_gamma 131.89
loop_
_atom_site_label
_atom_site_fract_x
_atom_site_fract_y
_atom_site_fract_z
F1 0.2779 0.9110 0.1889
F2 0.7221 0.0890 0.8111
F3 0.0890 0.2779 0.3668
F4 0.5000 0.5000 0.0000
F5 0.9110 0.7221 0.6332
Bi1 0.0000 0.0000 0.0000
# offset from the most stable computed form: 0 meV/atom

***

# PBE-GGA BiF, optimized geometry
data_BiF
_symmetry_space_group_name_H-M 'P 1'
_symmetry_Int_Tables_number 1
_symmetry_space_group_name_Hall 'P 1'
_cell_length_a 6.9263
_cell_length_b 6.9263
_cell_length_c 4.6264
_cell_angle_alpha 90.00
_cell_angle_beta 90.00
_cell_angle_gamma 90.00
loop_
_atom_site_label
_atom_site_fract_x
_atom_site_fract_y
_atom_site_fract_z
F1 0.1449 0.1449 0.5000
F2 0.3551 0.6449 0.0000
F3 0.6449 0.3551 0.0000
F4 0.8551 0.8551 0.5000
Bi1 0.8506 0.8506 0.0000
Bi2 0.3506 0.6494 0.5000
Bi3 0.6494 0.3506 0.5000
Bi4 0.1494 0.1494 0.0000
# offset from the most stable computed form: 248 meV/atom

***

Entry from Alexandria: a relaxed BiF3 crystal (PBE-GGA).

Geometry as CIF:
```
data_BiF3
_symmetry_space_group_name_H-M 'P 1'
_symmetry_Int_Tables_number 1
_symmetry_space_group_name_Hall 'P 1'
_cell_length_a 5.0334
_cell_length_b 6.5302
_cell_length_c 7.0870
_cell_angle_alpha 90.00
_cell_angle_beta 90.00
_cell_angle_gamma 90.00
loop_
_atom_site_label
_atom_site_fract_x
_atom_site_fract_y
_atom_site_fract_z
F1 0.1493 0.6607 0.0602
F2 0.3601 0.4592 0.7500
F3 0.1399 0.9592 0.7500
F4 0.6493 0.8393 0.9398
F5 0.8601 0.0408 0.2500
F6 0.1493 0.6607 0.4398
F7 0.8507 0.3393 0.5602
F8 0.6493 0.8393 0.5602
F9 0.8507 0.3393 0.9398
F10 0.3507 0.1607 0.0602
F11 0.3507 0.1607 0.4398
F12 0.6399 0.5408 0.2500
Bi1 0.4707 0.8646 0.2500
Bi2 0.9707 0.6354 0.7500
Bi3 0.5293 0.1354 0.7500
Bi4 0.0293 0.3646 0.2500
```

***

Entry from Alexandria: a relaxed BiF2 crystal (PBE-GGA).

Geometry as CIF:
```
data_BiF2
_symmetry_space_group_name_H-M 'P 1'
_symmetry_Int_Tables_number 1
_symmetry_space_group_name_Hall 'P 1'
_cell_length_a 3.3755
_cell_length_b 4.1590
_cell_length_c 4.1535
_cell_angle_alpha 60.09
_cell_angle_beta 89.74
_cell_angle_gamma 89.14
loop_
_atom_site_label
_atom_site_fract_x
_atom_site_fract_y
_atom_site_fract_z
F1 0.3595 0.3357 0.8274
F2 0.6511 0.6658 0.1614
Bi1 0.5053 0.0007 0.4944
```

***

# PBE-GGA BiF, optimized geometry
data_BiF
_symmetry_space_group_name_H-M 'P 1'
_symmetry_Int_Tables_number 1
_symmetry_space_group_name_Hall 'P 1'
_cell_length_a 7.4873
_cell_length_b 7.4873
_cell_length_c 7.4873
_cell_angle_alpha 90.00
_cell_angle_beta 90.00
_cell_angle_gamma 90.00
loop_
_atom_site_label
_atom_site_fract_x
_atom_site_fract_y
_atom_site_fract_z
F1 0.1209 0.1209 0.1209
F2 0.3791 0.3791 0.6209
F3 0.6209 0.6209 0.6209
F4 0.1209 0.8791 0.8791
F5 0.8791 0.8791 0.1209
F6 0.8791 0.1209 0.8791
F7 0.6209 0.3791 0.3791
F8 0.3791 0.6209 0.3791
Bi1 0.7042 0.2958 0.7042
Bi2 0.2958 0.2958 0.2958
Bi3 0.2958 0.7042 0.7042
Bi4 0.7958 0.2042 0.2042
Bi5 0.2042 0.2042 0.7958
Bi6 0.2042 0.7958 0.2042
Bi7 0.7958 0.7958 0.7958
Bi8 0.7042 0.7042 0.2958
# offset from the most stable computed form: 436 meV/atom

***

Entry from Alexandria: a relaxed BiF3 crystal (PBE-GGA).

Geometry as CIF:
```
data_BiF3
_symmetry_space_group_name_H-M 'P 1'
_symmetry_Int_Tables_number 1
_symmetry_space_group_name_Hall 'P 1'
_cell_length_a 4.0713
_cell_length_b 4.0713
_cell_length_c 4.0713
_cell_angle_alpha 59.98
_cell_angle_beta 59.98
_cell_angle_gamma 59.98
loop_
_atom_site_label
_atom_site_fract_x
_atom_site_fract_y
_atom_site_fract_z
F1 0.0000 0.0000 0.0000
F2 0.7500 0.7500 0.7500
F3 0.2500 0.2500 0.2500
Bi1 0.5000 0.5000 0.5000
```

***

# PBE-GGA BiF, optimized geometry
data_BiF
_symmetry_space_group_name_H-M 'P 1'
_symmetry_Int_Tables_number 1
_symmetry_space_group_name_Hall 'P 1'
_cell_length_a 7.2104
_cell_length_b 7.2104
_cell_length_c 7.2104
_cell_angle_alpha 90.00
_cell_angle_beta 90.00
_cell_angle_gamma 90.00
loop_
_atom_site_label
_atom_site_fract_x
_atom_site_fract_y
_atom_site_fract_z
Bi1 0.5000 0.0000 0.7500
Bi2 0.5000 0.0000 0.2500
Bi3 0.0000 0.2500 0.5000
Bi4 0.2500 0.5000 0.0000
Bi5 0.7500 0.5000 0.0000
Bi6 0.0000 0.7500 0.5000
F1 0.0000 0.5000 0.2500
F2 0.7500 0.0000 0.5000
F3 0.0000 0.5000 0.7500
F4 0.5000 0.7500 0.0000
F5 0.5000 0.2500 0.0000
F6 0.2500 0.0000 0.5000
# offset from the most stable computed form: 760 meV/atom

***

# PBE-GGA BiF5, optimized geometry
data_BiF5
_symmetry_space_group_name_H-M 'P 1'
_symmetry_Int_Tables_number 1
_symmetry_space_group_name_Hall 'P 1'
_cell_length_a 10.4985
_cell_length_b 5.4866
_cell_length_c 8.3798
_cell_angle_alpha 67.02
_cell_angle_beta 90.00
_cell_angle_gamma 90.00
loop_
_atom_site_label
_atom_site_fract_x
_atom_site_fract_y
_atom_site_fract_z
F1 0.0915 0.0846 0.2988
F2 0.5915 0.9154 0.2012
F3 0.3466 0.2107 0.3534
F4 0.8466 0.7893 0.1466
F5 0.1484 0.5383 0.4566
F6 0.9085 0.9154 0.7012
F7 0.4019 0.6614 0.5240
F8 0.1534 0.2107 0.8534
F9 0.9019 0.3386 0.9760
F10 0.3086 0.8753 0.1579
F11 0.8516 0.4617 0.5434
F12 0.3516 0.5383 0.9566
F13 0.5981 0.3386 0.4760
F14 0.4085 0.0846 0.7988
F15 0.6484 0.4617 0.0434
F16 0.6914 0.1247 0.8421
F17 0.8086 0.1247 0.3421
F18 0.0981 0.6614 0.0240
F19 0.1914 0.8753 0.6579
F20 0.6534 0.7893 0.6466
Bi1 0.2520 0.8732 0.9074
Bi2 0.7480 0.1268 0.0926
Bi3 0.2480 0.8732 0.4074
Bi4 0.7520 0.1268 0.5926
# offset from the most stable computed form: 1 meV/atom

***

DFT total energy? In order: -4.226 -3.025 -4.468 -3.857 -4.343 -4.164 -4.294 -4.255 -4.225 -3.734 -3.508 -3.805 -3.981 -4.046 -4.837 -4.574 -3.858 -4.567 -3.534 -3.980 eV/atom.
Formation energy without anion corrections? In order: -1.35 -0.65 -1.99 -1.65 -1.97 -1.29 -1.42 -1.38 -1.35 -0.25 -1.37 -0.93 -1.77 -1.17 -2.46 -2.03 -0.98 -2.19 -0.66 -1.77 eV per atom.
Spin magnetization? In order: 0.00 1.09 0.00 0.00 0.00 0.00 0.00 0.00 0.00 0.00 1.29 0.00 0.03 0.00 0.00 0.09 0.00 0.00 0.00 0.00 Bohr magnetons per cell.